--- P ---
Material: Li3PdO3
Method: DFT, GGA-PBE
State: relaxed

Lattice parameters (Å, degrees): 7.3935 7.3935 7.3935 109.47 109.47 109.47
Closest atoms and distances in Å follow each position.
Sites, in units of the cell vectors:
O (0.7445, 0.7500, 0.2555)  4 Li 1.93-2.12
O (0.4890, 0.2445, 0.9945)  4 Li 1.93-2.12
O (0.2500, 0.2555, 0.2445)  4 Li 1.93-2.12
O (0.4945, 0.5055, 0.7500)  4 Li 1.93-2.12
O (0.0055, 0.2555, 0.5110)  4 Li 1.93-2.12
O (0.0055, 0.7500, 0.9945)  4 Li 1.93-2.12
O (0.7555, 0.5110, 0.5055)  4 Li 1.93-2.12
O (0.4945, 0.9890, 0.2445)  4 Li 1.93-2.12
O (0.2500, 0.9945, 0.5055)  4 Li 1.93-2.12
O (0.0110, 0.5055, 0.2555)  4 Li 1.93-2.12
O (0.7445, 0.9945, 0.9890)  4 Li 1.93-2.12
O (0.7555, 0.2445, 0.7500)  4 Li 1.93-2.12
Li (0.5523, 0.7761, 0.0261)  4 O 1.93-2.12
Li (0.2761, 0.2500, 0.7239)  4 O 1.93-2.12
Li (0.9739, 0.7239, 0.4477)  4 O 1.93-2.12
Li (0.5261, 0.4739, 0.2500)  4 O 1.93-2.12
Li (0.5261, 0.0523, 0.7761)  4 O 1.93-2.12
Li (0.2239, 0.4477, 0.4739)  4 O 1.93-2.12
Li (0.9739, 0.2500, 0.0261)  4 O 1.93-2.12
Li (0.2761, 0.0261, 0.0523)  4 O 1.93-2.12
Li (0.2239, 0.7761, 0.2500)  4 O 1.93-2.12
Li (0.7500, 0.0261, 0.4739)  4 O 1.93-2.12
Li (0.9477, 0.4739, 0.7239)  4 O 1.93-2.12
Li (0.7500, 0.7239, 0.7761)  4 O 1.93-2.12
Pd (0.5000, 0.2500, 0.5000)  6 O 2.18
Pd (0.0000, 0.0000, 0.2500)  6 O 2.18
Pd (0.7500, 0.5000, 0.0000)  6 O 2.18
Pd (0.7500, 0.2500, 0.2500)  6 O 2.18

- spin magnetization (μB/atom) = 0.1458
- volume (A^3/atom) = 11.1
- SG = I4_132, No. 214
- crystal system = cubic

---

--- Q ---
Material: Li3PdO3
Method: DFT, GGA-PBE
State: relaxed

Lattice parameters (Å, degrees): 5.4533 5.4533 6.0949 100.78 100.78 114.03
Closest atoms and distances in Å follow each position.
Sites, in units of the cell vectors:
Pd (0.7392, 0.7392, 0.9951)  3 O 1.89-1.97
Pd (0.2608, 0.2608, 0.0049)  3 O 1.89-1.97
Li (0.2484, 0.7516, 0.0000)  4 O 2.10-2.23
Li (0.7856, 0.2144, 0.5000)  2 O 1.98
Li (0.2443, 0.2443, 0.4194)  4 O 1.90-2.10
Li (0.7516, 0.2484, 0.0000)  4 O 2.10-2.23
Li (0.7557, 0.7557, 0.5806)  4 O 1.90-2.10
Li (0.2144, 0.7856, 0.5000)  2 O 1.98
O (0.8424, 0.5223, 0.7653)  1 Pd 1.97, 3 Li 1.98-2.10
O (0.8694, 0.8694, 0.3256)  1 Pd 1.89, 2 Li 1.90-2.10
O (0.1576, 0.4777, 0.2347)  1 Pd 1.97, 3 Li 1.98-2.10
O (0.5223, 0.8424, 0.7653)  1 Pd 1.97, 3 Li 1.98-2.10
O (0.1306, 0.1306, 0.6744)  1 Pd 1.89, 2 Li 1.90-2.10
O (0.4777, 0.1576, 0.2347)  1 Pd 1.97, 3 Li 1.98-2.10

- spin magnetization (μB/atom) = 0.0000
- volume (A^3/atom) = 11.1
- SG = C2/m, No. 12
- crystal system = monoclinic

---

Stability summary: most stable P, least stable Q.

---

--- P ---
Material: PtRh2Cl
Method: DFT, GGA-PBE
State: relaxed

Lattice parameters (Å, degrees): 2.8126 2.8126 9.3171 90.00 90.00 121.16
Closest atoms and distances in Å follow each position.
Sites, in units of the cell vectors:
Rh (0.0000, 0.0000, 0.0130)  8 Rh 2.62-2.81, 2 Pt 2.72
Rh (0.5000, 0.5000, 0.2521)  2 Cl 2.48, 4 Rh 2.62-2.76
Cl (0.0000, 0.0000, 0.4730)  2 Rh 2.48, 2 Cl 2.76
Pt (0.5000, 0.5000, 0.7619)  2 Rh 2.72, 6 Pt 2.76-2.81, 2 Cl 3.03

- spin magnetization (μB/atom) = 0.0000
- volume (A^3/atom) = 15.8
- SG = Cmm2, No. 35
- crystal system = orthorhombic

---

--- Q ---
Material: PtRh2Cl
Method: DFT, GGA-PBE
State: relaxed

Lattice parameters (Å, degrees): 5.5649 5.5649 4.6644 65.26 65.26 28.82
Closest atoms and distances in Å follow each position.
Sites, in units of the cell vectors:
Rh (0.2583, 0.2583, 0.2419)  4 Rh 2.64-2.77, 4 Pt 2.72, 2 Cl 2.73
Rh (0.9895, 0.9895, 0.0104)  4 Rh 2.64-2.77, 4 Cl 2.72-2.73, 2 Pt 2.77
Cl (0.5160, 0.5160, 0.4839)  6 Rh 2.72-2.73, 2 Cl 2.77
Pt (0.7363, 0.7363, 0.7638)  6 Rh 2.72-2.77, 2 Pt 2.77

- spin magnetization (μB/atom) = 0.0000
- volume (A^3/atom) = 15.7
- SG = Imm2, No. 44
- crystal system = orthorhombic

---

Stability summary: most stable P, least stable Q.

---

--- P ---
Material: KZn3
Method: DFT, GGA-PBE
State: relaxed

Lattice parameters (Å, degrees): 6.1045 6.1045 2.7766 90.00 90.00 116.31
Closest atoms and distances in Å follow each position.
Sites, in units of the cell vectors:
Zn (0.5000, 0.5000, 0.0000)  2 Zn 2.78
Zn (0.5000, 0.0000, 0.5000)  2 Zn 2.78
Zn (0.0000, 0.5000, 0.5000)  2 Zn 2.78
K (0.0000, 0.0000, 0.0000)  2 K 2.78

- spin magnetization (μB/atom) = 0.0000
- volume (A^3/atom) = 23.2
- SG = Cmmm, No. 65
- crystal system = orthorhombic

---

--- Q ---
Material: KZn3
Method: DFT, GGA-PBE
State: relaxed

Lattice parameters (Å, degrees): 5.6970 5.6970 5.6970 139.86 121.16 73.62
Closest atoms and distances in Å follow each position.
Sites, in units of the cell vectors:
Zn (0.8008, 0.8008, 0.0000)  2 Zn 2.67
Zn (0.0000, 0.5000, 0.5000)  4 Zn 2.67
Zn (0.1992, 0.1992, 0.0000)  2 Zn 2.67
K (0.5000, 0.0000, 0.5000)  12 Zn 3.34-3.41

- spin magnetization (μB/atom) = 0.0000
- volume (A^3/atom) = 25.0
- SG = Immm, No. 71
- crystal system = orthorhombic

---

Stability summary: most stable Q, least stable P.